HgMoPt2 (GGA-PBE, relaxed); energy of formation from the pure elements = -34 meV/atom; Fermi-level density of states = 2.478 states/eV per cell; energy above the most stable polymorph in this dataset = 0.620 eV per formula unit
1.0
2.8600 0.0000 0.0000
0.0000 3.9538 0.0000
0.0000 0.0000 5.9777
Hg Mo Pt
1 1 2
direct
0.0000 0.0000 0.0000
0.0000 0.0000 0.5000
0.5000 0.5000 0.2764
0.5000 0.5000 0.7236